Entry 1:
{"formula": "Sc2FePt", "functional": "PBE", "state": "relaxed", "dft_energy_ev_per_atom": -6.729, "e_form_ev_per_atom": 0.0626, "lattice_angstrom": [[4.117, 0.000, 0.000], [0.000, 4.117, 0.000], [2.058, 2.058, 8.914]], "species": ["Sc", "Sc", "Sc", "Sc", "Fe", "Fe", "Pt", "Pt"], "fractional_positions": [[0.620, 0.125, 0.250], [0.130, 0.625, 0.250], [0.375, 0.380, 0.750], [0.875, 0.870, 0.750], [0.500, 0.500, 0.000], [0.250, 0.750, 0.500], [0.000, 0.000, 0.000], [0.750, 0.250, 0.500]]}

=====

Entry 2:
{"formula": "PmScCdSb", "functional": "PBE", "state": "relaxed", "raw_formation_energy_mev_per_atom": -472, "dft_energy_ev_per_atom": -4.502, "lattice_angstrom": [[-3.769, 3.234, 1.679], [-5.039, -1.223, -0.771], [-3.015, -1.373, 4.063]], "species": ["Sc", "Sb", "Cd", "Pm"], "fractional_positions": [[0.500, 0.500, 0.500], [0.250, 0.250, 0.250], [0.750, 0.750, 0.750], [0.000, 0.000, 0.000]]}

=====

Entry 3:
{"formula": "Sb2WCI", "functional": "PBE", "state": "relaxed", "relative_energy_mev_per_atom": 0, "raw_formation_energy_mev_per_atom": 1703, "dft_energy_ev_per_atom": -4.692, "lattice_angstrom": [[4.622, 0.000, 0.000], [0.000, 4.622, 0.000], [0.000, 0.000, 4.832]], "species": ["I", "Sb", "Sb", "C", "W"], "fractional_positions": [[0.000, 0.000, 0.500], [0.000, 0.500, 0.000], [0.500, 0.000, 0.000], [0.000, 0.000, 0.000], [0.500, 0.500, 0.500]]}

=====

Entry 4:
{"formula": "CsTlPt4", "functional": "PBE", "state": "relaxed", "dft_energy_ev_per_atom": -4.477, "e_form_ev_per_atom": 0.0865, "lattice_angstrom": [[5.623, 0.000, 0.000], [2.812, 4.870, 0.000], [2.812, 1.623, 4.592]], "species": ["Cs", "Tl", "Pt", "Pt", "Pt", "Pt"], "fractional_positions": [[0.250, 0.250, 0.250], [0.000, 0.000, 0.000], [0.626, 0.626, 0.123], [0.626, 0.123, 0.626], [0.626, 0.626, 0.626], [0.123, 0.626, 0.626]]}

=====

Entry 5:
{"formula": "LiZr3W", "functional": "PBE", "state": "relaxed", "relative_energy_mev_per_atom": 0, "dft_energy_ev_per_atom": -7.284, "e_form_ev_per_atom": 0.8184, "lattice_angstrom": [[-3.755, 3.401, 0.966], [-2.924, -3.780, 1.940], [1.987, 0.864, 4.680]], "species": ["Zr", "Zr", "Zr", "W", "Li"], "fractional_positions": [[0.000, 0.500, 0.000], [0.000, 0.000, 0.500], [0.500, 0.000, 0.000], [0.000, 0.000, 0.000], [0.500, 0.500, 0.500]]}